# 1
# Nb2Co3Ir

A relaxed structure of Nb2Co3Ir (GGA-PBE, Alexandria).

a b c (Å): 4.966 4.966 4.966
angles (deg): 57.80 57.80 57.80
Element x y z (fractional)
Nb 0.119 0.119 0.119
Nb 0.881 0.881 0.881
Co 0.000 0.500 0.500
Co 0.500 0.000 0.500
Co 0.500 0.500 0.000
Ir 0.500 0.500 0.500

DOS at the Fermi energy in states/eV/atom: 1.5610
Energy of formation from the pure elements in eV per atom: -0.236

# 2
# Pm5Dy4Er2

A relaxed structure of Pm5Dy4Er2 (GGA-PBE, Alexandria).

a b c (Å): 12.708 12.708 12.708
angles (deg): 164.10 137.96 45.22
Element x y z (fractional)
Pm 0.000 0.000 0.000
Pm 0.054 0.353 0.701
Pm 0.348 0.647 0.701
Pm 0.652 0.353 0.299
Pm 0.946 0.647 0.299
Dy 0.311 0.500 0.811
Dy 0.403 0.903 0.500
Dy 0.597 0.097 0.500
Dy 0.689 0.500 0.189
Er 0.270 0.770 0.500
Er 0.730 0.230 0.500

Distance to the lowest polymorph of the same formula in meV/atom: 139
DOS at the Fermi energy in states/eV/atom: 1.6095
Energy of formation from the pure elements in eV per atom: 0.213

# 3
# BaTl3Se

A relaxed structure of BaTl3Se (GGA-PBE, Alexandria).

a b c (Å): 5.905 5.905 5.905
angles (deg): 90.00 90.00 90.00
Element x y z (fractional)
Ba 0.000 0.000 0.000
Tl 0.000 0.500 0.500
Tl 0.500 0.000 0.500
Tl 0.500 0.500 0.000
Se 0.500 0.500 0.500

Distance to the lowest polymorph of the same formula in meV/atom: 0
DOS at the Fermi energy in states/eV/atom: 1.0515

# 4
# KRb2Ag2

A relaxed structure of KRb2Ag2 (GGA-PBE, Alexandria).

a b c (Å): 9.134 9.134 5.344
angles (deg): 90.00 90.00 90.00
Element x y z (fractional)
K 0.000 0.000 0.000
K 0.500 0.500 0.000
Rb 0.167 0.333 0.500
Rb 0.333 0.833 0.500
Rb 0.667 0.167 0.500
Rb 0.833 0.667 0.500
Ag 0.111 0.611 0.000
Ag 0.389 0.111 0.000
Ag 0.611 0.889 0.000
Ag 0.889 0.389 0.000

Distance to the lowest polymorph of the same formula in meV/atom: 0
DOS at the Fermi energy in states/eV/atom: 0.6122
Energy of formation from the pure elements in eV per atom: 0.053

# 5
# Cu5NiAu8

A relaxed structure of Cu5NiAu8 (GGA-PBE, Alexandria).

a b c (Å): 6.672 6.672 6.672
angles (deg): 109.92 109.92 108.57
Element x y z (fractional)
Cu 0.000 0.000 0.000
Cu 0.227 0.062 0.600
Cu 0.373 0.773 0.835
Cu 0.462 0.627 0.400
Cu 0.938 0.538 0.165
Ni 0.750 0.250 0.500
Au 0.108 0.338 0.417
Au 0.153 0.391 0.897
Au 0.309 0.892 0.230
Au 0.495 0.256 0.103
Au 0.609 0.505 0.761
Au 0.662 0.079 0.770
Au 0.744 0.847 0.239
Au 0.921 0.691 0.583

DOS at the Fermi energy in states/eV/atom: 0.4094
Energy of formation from the pure elements in eV per atom: 0.113

# 6
# Pm2Ga5Co4

A relaxed structure of Pm2Ga5Co4 (GGA-PBE, Alexandria).

a b c (Å): 8.780 7.852 5.429
angles (deg): 80.53 61.90 37.58
Element x y z (fractional)
Pm 0.147 0.147 0.853
Pm 0.853 0.853 0.147
Ga 0.000 0.000 0.500
Ga 0.250 0.250 0.250
Ga 0.500 0.500 0.000
Ga 0.500 0.500 0.500
Ga 0.750 0.750 0.750
Co 0.217 0.529 0.471
Co 0.471 0.783 0.217
Co 0.529 0.217 0.783
Co 0.783 0.471 0.529

DOS at the Fermi energy in states/eV/atom: 0.8912
Energy of formation from the pure elements in eV per atom: -0.349